Below is MnOs2W after structural relaxation, with properties calculated at the PBE-GGA level.

CIF file:
```
data_MnOs2W
_chemical_formula_sum 'Mn1 Os2 W1'
_cell_length_a 3.8568
_cell_length_b 3.8568
_cell_length_c 3.8154
_cell_angle_alpha 90.00
_cell_angle_beta 90.00
_cell_angle_gamma 90.00
_symmetry_space_group_name_H-M 'P 1'
_symmetry_Int_Tables_number 1
_symmetry_space_group_name_Hall 'P 1'
loop_
_atom_site_label
_atom_site_type_symbol
_atom_site_fract_x
_atom_site_fract_y
_atom_site_fract_z
Mn1 Mn 0.0000 0.0000 0.0000
Os1 Os 0.0000 0.5000 0.5000
Os2 Os 0.5000 0.0000 0.5000
W1 W 0.5000 0.5000 0.0000
```

Calculated values
Energy of formation in eV/atom: 0.032
Crystal system: tetragonal
Distance to the lowest polymorph of the same formula in meV per atom: 0